# Mg2FeCl PBE optimized geometry
# ρ = 3.1 g/cm³
# energy above the lowest structure with this stoichiometry = 0 meV/atom
# total magnetic moment = 2.2 Bohr magnetons per cell
# uncorrected formation energy = -1.19 eV per formula unit
data_Mg2FeCl
_chemical_formula_sum 'Mg2 Fe1 Cl1'
_cell_length_a 3.035
_cell_length_b 3.168
_cell_length_c 7.742
_cell_angle_alpha 90.00
_cell_angle_beta 90.00
_cell_angle_gamma 90.00
_symmetry_space_group_name_H-M 'P 1'
_symmetry_Int_Tables_number 1
_symmetry_space_group_name_Hall 'P 1'
loop_
_atom_site_label
_atom_site_type_symbol
_atom_site_fract_x
_atom_site_fract_y
_atom_site_fract_z
Mg1 Mg 0.000 0.000 0.225
Mg2 Mg 0.000 0.000 0.775
Fe1 Fe 0.500 0.500 0.000
Cl1 Cl 0.500 0.000 0.500



# Mg2FeCl PBE optimized geometry
# ρ = 2.8 g/cm³
# energy above the lowest structure with this stoichiometry = 441 meV/atom
# total magnetic moment = 5.5 Bohr magnetons per cell
# uncorrected formation energy = 0.58 eV per formula unit
data_Mg2FeCl
_chemical_formula_sum 'Mg4 Fe2 Cl2'
_cell_length_a 5.998
_cell_length_b 5.998
_cell_length_c 5.998
_cell_angle_alpha 106.91
_cell_angle_beta 106.91
_cell_angle_gamma 114.72
_symmetry_space_group_name_H-M 'P 1'
_symmetry_Int_Tables_number 1
_symmetry_space_group_name_Hall 'P 1'
loop_
_atom_site_label
_atom_site_type_symbol
_atom_site_fract_x
_atom_site_fract_y
_atom_site_fract_z
Mg1 Mg 0.111 0.625 0.986
Mg2 Mg 0.375 0.361 0.486
Mg3 Mg 0.639 0.125 0.014
Mg4 Mg 0.875 0.889 0.514
Fe1 Fe 0.250 0.750 0.500
Fe2 Fe 0.500 0.500 0.000
Cl1 Cl 0.000 0.000 0.000
Cl2 Cl 0.750 0.250 0.500



# MgFe4Cl PBE optimized geometry
# ρ = 5.2 g/cm³
# total magnetic moment = 10.8 Bohr magnetons per cell
# uncorrected formation energy = 2.56 eV per formula unit
data_MgFe4Cl
_chemical_formula_sum 'Mg1 Fe4 Cl1'
_cell_length_a 5.042
_cell_length_b 5.042
_cell_length_c 5.042
_cell_angle_alpha 60.00
_cell_angle_beta 60.00
_cell_angle_gamma 60.00
_symmetry_space_group_name_H-M 'P 1'
_symmetry_Int_Tables_number 1
_symmetry_space_group_name_Hall 'P 1'
loop_
_atom_site_label
_atom_site_type_symbol
_atom_site_fract_x
_atom_site_fract_y
_atom_site_fract_z
Mg1 Mg 0.000 0.000 0.000
Fe1 Fe 0.373 0.373 0.373
Fe2 Fe 0.373 0.373 0.880
Fe3 Fe 0.373 0.880 0.373
Fe4 Fe 0.880 0.373 0.373
Cl1 Cl 0.750 0.750 0.750



# MgFeCl PBE optimized geometry
# ρ = 3.3 g/cm³
# energy above the lowest structure with this stoichiometry = 657 meV/atom
# total magnetic moment = 2.6 Bohr magnetons per cell
# uncorrected formation energy = 1.53 eV per formula unit
data_MgFeCl
_chemical_formula_sum 'Mg1 Fe1 Cl1'
_cell_length_a 4.352
_cell_length_b 4.352
_cell_length_c 4.352
_cell_angle_alpha 60.00
_cell_angle_beta 60.00
_cell_angle_gamma 60.00
_symmetry_space_group_name_H-M 'P 1'
_symmetry_Int_Tables_number 1
_symmetry_space_group_name_Hall 'P 1'
loop_
_atom_site_label
_atom_site_type_symbol
_atom_site_fract_x
_atom_site_fract_y
_atom_site_fract_z
Mg1 Mg 0.000 0.000 0.000
Fe1 Fe 0.500 0.500 0.500
Cl1 Cl 0.750 0.750 0.750



# MgFeCl PBE optimized geometry
# ρ = 3.6 g/cm³
# energy above the lowest structure with this stoichiometry = 116 meV/atom
# total magnetic moment = 2.8 Bohr magnetons per cell
# uncorrected formation energy = -0.09 eV per formula unit
data_MgFeCl
_chemical_formula_sum 'Mg1 Fe1 Cl1'
_cell_length_a 6.008
_cell_length_b 6.008
_cell_length_c 6.008
_cell_angle_alpha 150.40
_cell_angle_beta 150.40
_cell_angle_gamma 42.36
_symmetry_space_group_name_H-M 'P 1'
_symmetry_Int_Tables_number 1
_symmetry_space_group_name_Hall 'P 1'
loop_
_atom_site_label
_atom_site_type_symbol
_atom_site_fract_x
_atom_site_fract_y
_atom_site_fract_z
Mg1 Mg 0.000 0.000 0.000
Fe1 Fe 0.344 0.344 0.000
Cl1 Cl 0.707 0.707 0.000



# Mg2FeCl PBE optimized geometry
# ρ = 2.9 g/cm³
# energy above the lowest structure with this stoichiometry = 437 meV/atom
# total magnetic moment = 2.8 Bohr magnetons per cell
# uncorrected formation energy = 0.56 eV per formula unit
data_Mg2FeCl
_chemical_formula_sum 'Mg2 Fe1 Cl1'
_cell_length_a 5.964
_cell_length_b 5.964
_cell_length_c 5.964
_cell_angle_alpha 142.21
_cell_angle_beta 142.21
_cell_angle_gamma 54.52
_symmetry_space_group_name_H-M 'P 1'
_symmetry_Int_Tables_number 1
_symmetry_space_group_name_Hall 'P 1'
loop_
_atom_site_label
_atom_site_type_symbol
_atom_site_fract_x
_atom_site_fract_y
_atom_site_fract_z
Mg1 Mg 0.000 0.000 0.000
Mg2 Mg 0.750 0.250 0.500
Fe1 Fe 0.500 0.500 0.000
Cl1 Cl 0.250 0.750 0.500



# MgFe3Cl PBE optimized geometry
# ρ = 5.2 g/cm³
# energy above the lowest structure with this stoichiometry = 0 meV/atom
# total magnetic moment = 5.2 Bohr magnetons per cell
# uncorrected formation energy = 2.96 eV per formula unit
data_MgFe3Cl
_chemical_formula_sum 'Mg1 Fe3 Cl1'
_cell_length_a 4.162
_cell_length_b 4.162
_cell_length_c 4.162
_cell_angle_alpha 90.00
_cell_angle_beta 90.00
_cell_angle_gamma 90.00
_symmetry_space_group_name_H-M 'P 1'
_symmetry_Int_Tables_number 1
_symmetry_space_group_name_Hall 'P 1'
loop_
_atom_site_label
_atom_site_type_symbol
_atom_site_fract_x
_atom_site_fract_y
_atom_site_fract_z
Mg1 Mg 0.000 0.000 0.000
Fe1 Fe 0.000 0.500 0.500
Fe2 Fe 0.500 0.000 0.500
Fe3 Fe 0.500 0.500 0.000
Cl1 Cl 0.500 0.500 0.500



# Na2MgFeCl6 PBE optimized geometry
# ρ = 2.5 g/cm³
# total magnetic moment = 4.0 Bohr magnetons per cell
# uncorrected formation energy = -14.37 eV per formula unit
data_Na2MgFeCl6
_chemical_formula_sum 'Na2 Mg1 Fe1 Cl6'
_cell_length_a 6.963
_cell_length_b 6.963
_cell_length_c 6.963
_cell_angle_alpha 57.65
_cell_angle_beta 57.65
_cell_angle_gamma 57.65
_symmetry_space_group_name_H-M 'P 1'
_symmetry_Int_Tables_number 1
_symmetry_space_group_name_Hall 'P 1'
loop_
_atom_site_label
_atom_site_type_symbol
_atom_site_fract_x
_atom_site_fract_y
_atom_site_fract_z
Na1 Na 0.000 0.000 0.000
Na2 Na 0.500 0.500 0.500
Mg1 Mg 0.709 0.709 0.709
Fe1 Fe 0.209 0.209 0.209
Cl1 Cl 0.065 0.850 0.444
Cl2 Cl 0.346 0.561 0.948
Cl3 Cl 0.444 0.065 0.850
Cl4 Cl 0.561 0.948 0.346
Cl5 Cl 0.850 0.444 0.065
Cl6 Cl 0.948 0.346 0.561



# MgFeP2Cl PBE optimized geometry
# ρ = 2.7 g/cm³
# energy above the lowest structure with this stoichiometry = 762 meV/atom
# total magnetic moment = 3.3 Bohr magnetons per cell
# uncorrected formation energy = 4.15 eV per formula unit
data_MgFeP2Cl
_chemical_formula_sum 'Mg1 Fe1 P2 Cl1'
_cell_length_a 4.852
_cell_length_b 4.852
_cell_length_c 4.717
_cell_angle_alpha 90.00
_cell_angle_beta 90.00
_cell_angle_gamma 90.00
_symmetry_space_group_name_H-M 'P 1'
_symmetry_Int_Tables_number 1
_symmetry_space_group_name_Hall 'P 1'
loop_
_atom_site_label
_atom_site_type_symbol
_atom_site_fract_x
_atom_site_fract_y
_atom_site_fract_z
Mg1 Mg 0.000 0.000 0.000
Fe1 Fe 0.500 0.500 0.500
P1 P 0.000 0.500 0.000
P2 P 0.500 0.000 0.000
Cl1 Cl 0.000 0.000 0.500



# MgFeP2Cl PBE optimized geometry
# ρ = 3.0 g/cm³
# energy above the lowest structure with this stoichiometry = 0 meV/atom
# total magnetic moment = 0.4 Bohr magnetons per cell
# uncorrected formation energy = 0.34 eV per formula unit
data_MgFeP2Cl
_chemical_formula_sum 'Mg1 Fe1 P2 Cl1'
_cell_length_a 4.224
_cell_length_b 4.224
_cell_length_c 5.438
_cell_angle_alpha 90.00
_cell_angle_beta 90.00
_cell_angle_gamma 90.00
_symmetry_space_group_name_H-M 'P 1'
_symmetry_Int_Tables_number 1
_symmetry_space_group_name_Hall 'P 1'
loop_
_atom_site_label
_atom_site_type_symbol
_atom_site_fract_x
_atom_site_fract_y
_atom_site_fract_z
Mg1 Mg 0.000 0.000 0.000
Fe1 Fe 0.500 0.500 0.500
P1 P 0.000 0.500 0.500
P2 P 0.500 0.000 0.500
Cl1 Cl 0.500 0.500 0.000



# RbMgFeCl6 PBE optimized geometry
# ρ = 2.5 g/cm³
# total magnetic moment = 1.0 Bohr magnetons per cell
# uncorrected formation energy = -11.80 eV per formula unit
data_RbMgFeCl6
_chemical_formula_sum 'Rb1 Mg1 Fe1 Cl6'
_cell_length_a 6.296
_cell_length_b 6.296
_cell_length_c 7.406
_cell_angle_alpha 90.00
_cell_angle_beta 90.00
_cell_angle_gamma 120.00
_symmetry_space_group_name_H-M 'P 1'
_symmetry_Int_Tables_number 1
_symmetry_space_group_name_Hall 'P 1'
loop_
_atom_site_label
_atom_site_type_symbol
_atom_site_fract_x
_atom_site_fract_y
_atom_site_fract_z
Rb1 Rb 0.000 0.000 0.000
Mg1 Mg 0.333 0.667 0.500
Fe1 Fe 0.667 0.333 0.500
Cl1 Cl 0.383 0.026 0.681
Cl2 Cl 0.383 0.358 0.319
Cl3 Cl 0.642 0.026 0.319
Cl4 Cl 0.642 0.617 0.681
Cl5 Cl 0.974 0.358 0.681
Cl6 Cl 0.974 0.617 0.319



# Rb2MgFeCl6 PBE optimized geometry
# ρ = 3.1 g/cm³
# total magnetic moment = 4.0 Bohr magnetons per cell
# uncorrected formation energy = -14.93 eV per formula unit
data_Rb2MgFeCl6
_chemical_formula_sum 'Rb2 Mg1 Fe1 Cl6'
_cell_length_a 6.917
_cell_length_b 6.917
_cell_length_c 6.917
_cell_angle_alpha 115.60
_cell_angle_beta 115.60
_cell_angle_gamma 97.80
_symmetry_space_group_name_H-M 'P 1'
_symmetry_Int_Tables_number 1
_symmetry_space_group_name_Hall 'P 1'
loop_
_atom_site_label
_atom_site_type_symbol
_atom_site_fract_x
_atom_site_fract_y
_atom_site_fract_z
Rb1 Rb 0.250 0.750 0.500
Rb2 Rb 0.750 0.250 0.500
Mg1 Mg 0.000 0.000 0.000
Fe1 Fe 0.500 0.500 0.000
Cl1 Cl 0.248 0.248 0.495
Cl2 Cl 0.248 0.752 0.000
Cl3 Cl 0.255 0.255 0.000
Cl4 Cl 0.745 0.745 0.000
Cl5 Cl 0.752 0.248 0.000
Cl6 Cl 0.752 0.752 0.505



no.,DFT total energy (eV per atom)
1,-3.671
2,-3.231
3,-5.789
4,-3.457
5,-3.999
6,-3.234
7,-5.173
8,-3.815
9,-3.715
10,-4.477
11,-3.767
12,-3.800